Material: Ca2Al3CdGa4
Method: DFT, PBE
State: optimized geometry

Space group = P-4m2
Size of the total moment = 0.00 μB per formula unit
ΔE_f = -299 meV/atom

```
Ca2Al3CdGa4
1.0
-1.1535 -2.0096 -3.6792
2.1544 -3.5577 1.2678
-9.2322 -3.8164 4.9790
Al Ca Ga Cd
3 2 4 1
direct
0.0000 0.5000 0.1330
0.5000 0.0000 0.8670
0.0000 0.0000 0.5000
0.5000 0.0000 0.2460
0.0000 0.5000 0.7540
0.0000 0.5000 0.3557
0.5000 0.5000 0.0000
0.5000 0.0000 0.6443
0.0000 0.0000 0.0000
0.5000 0.5000 0.5000
```

=====

Material: Ca2Al4CdGa3
Method: DFT, PBE
State: optimized geometry

Space group = P-4m2
Size of the total moment = 0.00 μB per formula unit
ΔE_f = -277 meV/atom

```
Ca2Al4CdGa3
1.0
-2.8207 -1.7334 2.8139
3.1108 -2.6416 1.4911
2.8700 7.6706 7.6020
Al Ca Ga Cd
4 2 3 1
direct
0.5000 0.0000 0.6418
0.5000 0.5000 0.0000
0.0000 0.0000 0.0000
0.0000 0.5000 0.3582
0.5000 0.0000 0.2473
0.0000 0.5000 0.7527
0.5000 0.0000 0.8657
0.0000 0.5000 0.1343
0.0000 0.0000 0.5000
0.5000 0.5000 0.5000
```

=====

Material: Ca3Al2CdGa9
Method: DFT, PBE
State: optimized geometry

Space group = P-3m1
Size of the total moment = 0.00 μB per formula unit
ΔE_f = 5 meV/atom

```
Ca3Al2CdGa9
1.0
6.6148 0.0000 0.0000
-3.3074 5.7285 0.0000
0.0000 0.0000 10.0069
Ga Al Ca Cd
9 2 3 1
direct
0.7960 0.2040 0.6066
0.5920 0.7960 0.3934
0.5000 0.5000 0.0000
0.5000 0.0000 0.0000
0.7960 0.5920 0.6066
0.2040 0.7960 0.3934
0.4080 0.2040 0.6066
0.0000 0.5000 0.0000
0.2040 0.4080 0.3934
0.6667 0.3333 0.8299
0.3333 0.6667 0.1701
0.3333 0.6667 0.7190
0.0000 0.0000 0.0000
0.6667 0.3333 0.2810
0.0000 0.0000 0.5000
```

=====

Material: CaAlCd2H
Method: DFT, PBE
State: optimized geometry

Space group = P4/mmm
Total energy = -1.750 eV per atom
Size of the total moment = 0.00 μB per formula unit

```
CaAlCd2H
1.0
5.0401 0.0000 0.0000
0.0000 6.1280 0.0000
0.0000 0.0000 5.0401
Al Cd Ca H
1 2 1 1
direct
0.0000 0.0000 0.0000
0.5000 0.0000 0.0000
0.0000 0.0000 0.5000
0.0000 0.5000 0.0000
0.5000 0.5000 0.5000
```

=====

Material: CaAlCdHg
Method: DFT, PBE
State: optimized geometry

Space group = F-43m
Size of the total moment = 0.00 μB per formula unit
ΔE_f = -224 meV/atom

```
CaAlCdHg
1.0
5.0642 0.0000 0.0000
2.5321 4.3857 0.0000
2.5321 1.4619 4.1349
Hg Ca Al Cd
1 1 1 1
direct
0.2500 0.2500 0.2500
0.0000 0.0000 0.0000
0.5000 0.5000 0.5000
0.7500 0.7500 0.7500
```

=====

Material: CaHoAlCd
Method: DFT, PBE
State: optimized geometry

Space group = F-43m
Size of the total moment = 0.00 μB per formula unit
ΔE_f = -312 meV/atom
Polymorph energy (0 for the lowest one) = 11.5 meV per atom

```
CaHoAlCd
1.0
5.2464 0.0000 0.0000
2.6232 4.5435 0.0000
2.6232 1.5145 4.2837
Cd Al Ca Ho
1 1 1 1
direct
0.7500 0.7500 0.7500
0.2500 0.2500 0.2500
0.0000 0.0000 0.0000
0.5000 0.5000 0.5000
```

=====

Material: CaHoAlCd
Method: DFT, PBE
State: optimized geometry

Space group = P4mm
Size of the total moment = 0.00 μB per formula unit
ΔE_f = -323 meV/atom
Polymorph energy (0 for the lowest one) = 0.0 meV per atom

```
CaHoAlCd
1.0
3.6267 0.0000 0.0000
0.0000 3.6267 0.0000
0.0000 0.0000 7.7651
Cd Ca Ho Al
1 1 1 1
direct
0.0000 0.0000 0.8649
0.5000 0.5000 0.5987
0.5000 0.5000 0.1184
0.0000 0.0000 0.3460
```

=====

Material: CaAl2CdIr
Method: DFT, PBE
State: optimized geometry

Space group = P4/mmm
Size of the total moment = 0.00 μB per formula unit
ΔE_f = 634 meV/atom

```
CaAl2CdIr
1.0
-0.3101 4.4541 1.9477
0.0352 -2.0641 4.7258
4.8612 0.2975 0.0937
Al Ca Cd Ir
2 1 1 1
direct
0.5000 0.0000 0.0000
0.0000 0.0000 0.5000
0.5000 0.5000 0.5000
0.0000 0.0000 0.0000
0.0000 0.5000 0.0000
```

=====

Material: CaLaAlCd
Method: DFT, PBE
State: optimized geometry

Space group = F-43m
Size of the total moment = 0.00 μB per formula unit
ΔE_f = -338 meV/atom

```
CaLaAlCd
1.0
-3.0617 -3.9578 -2.0931
2.0461 -4.9887 -0.5877
-1.7493 -4.0394 3.1690
La Cd Al Ca
1 1 1 1
direct
0.5000 0.5000 0.5000
0.7500 0.7500 0.7500
0.2500 0.2500 0.2500
0.0000 0.0000 0.0000
```

=====

Material: CaLa5Al2Cd
Method: DFT, PBE
State: optimized geometry

Space group = P4/mbm
Size of the total moment = 0.00 μB per formula unit
ΔE_f = -140 meV/atom

```
CaLa5Al2Cd
1.0
-7.6765 5.1843 3.6293
-1.5101 -5.7712 5.0498
4.7368 3.3456 5.2400
Al La Ca Cd
4 10 2 2
direct
0.5000 0.3853 0.8853
0.5000 0.6147 0.1147
0.5000 0.1147 0.3853
0.5000 0.8853 0.6147
0.5000 0.0000 0.0000
0.2625 0.1886 0.6886
0.2625 0.6886 0.8114
0.7375 0.8114 0.3114
0.2625 0.8114 0.3114
0.5000 0.5000 0.5000
0.7375 0.3114 0.1886
0.2625 0.3114 0.1886
0.7375 0.6886 0.8114
0.7375 0.1886 0.6886
0.0000 0.0000 0.0000
0.0000 0.5000 0.5000
0.0000 0.0000 0.5000
0.0000 0.5000 0.0000
```

=====

Material: CaLaAlCd2
Method: DFT, PBE
State: optimized geometry

Space group = P4/mmm
Size of the total moment = 0.00 μB per formula unit
ΔE_f = 994 meV/atom

```
CaLaAlCd2
1.0
-1.2649 5.7332 -0.6606
-4.5042 -1.4945 -4.3460
-4.0254 -0.3919 4.3067
Al Ca Cd La
1 1 2 1
direct
0.5000 0.5000 0.5000
0.0000 0.5000 0.0000
0.5000 0.0000 0.0000
0.0000 0.0000 0.5000
0.0000 0.0000 0.0000
```

=====

Material: Li2Ca2AlCd5
Method: DFT, PBE
State: optimized geometry

Space group = P4/mbm
Size of the total moment = 0.00 μB per formula unit
ΔE_f = -184 meV/atom

```
Li2Ca2AlCd5
1.0
-3.4779 -0.3814 -0.7377
2.4271 -8.3332 -7.1344
-0.9584 -7.4400 8.3642
Cd Li Ca Al
10 4 4 2
direct
0.5000 0.4459 0.3042
0.5000 0.6958 0.4459
0.5000 0.5541 0.6958
0.5000 0.8042 0.9459
0.5000 0.3042 0.5541
0.5000 0.0000 0.5000
0.5000 0.0541 0.8042
0.5000 0.5000 0.0000
0.5000 0.1958 0.0541
0.5000 0.9459 0.1958
0.0000 0.3746 0.1254
0.0000 0.1254 0.6254
0.0000 0.6254 0.8746
0.0000 0.8746 0.3746
0.0000 0.1791 0.3209
0.0000 0.6791 0.1791
0.0000 0.3209 0.8209
0.0000 0.8209 0.6791
0.0000 0.5000 0.5000
0.0000 0.0000 0.0000
```

=====

Repeat the tenth record exactly.
Material: CaLa5Al2Cd
Method: DFT, PBE
State: optimized geometry

Space group = P4/mbm
Size of the total moment = 0.00 μB per formula unit
ΔE_f = -140 meV/atom

```
CaLa5Al2Cd
1.0
-7.6765 5.1843 3.6293
-1.5101 -5.7712 5.0498
4.7368 3.3456 5.2400
Al La Ca Cd
4 10 2 2
direct
0.5000 0.3853 0.8853
0.5000 0.6147 0.1147
0.5000 0.1147 0.3853
0.5000 0.8853 0.6147
0.5000 0.0000 0.0000
0.2625 0.1886 0.6886
0.2625 0.6886 0.8114
0.7375 0.8114 0.3114
0.2625 0.8114 0.3114
0.5000 0.5000 0.5000
0.7375 0.3114 0.1886
0.2625 0.3114 0.1886
0.7375 0.6886 0.8114
0.7375 0.1886 0.6886
0.0000 0.0000 0.0000
0.0000 0.5000 0.5000
0.0000 0.0000 0.5000
0.0000 0.5000 0.0000
```

=====

What is the formula in the eleventh record? CaLaAlCd2